# 1
! PBE-GGA DyAl4InIr, optimized geometry; values from VASP
! Crystal system   tetragonal
&SYSTEM
  ibrav = 0, nat = 7, ntyp = 4
/
ATOMIC_SPECIES
Dy 162.50 Dy.upf
Al 26.98 Al.upf
In 114.82 In.upf
Ir 192.22 Ir.upf
CELL_PARAMETERS angstrom
4.372 0.000 0.000
0.000 4.372 0.000
0.000 0.000 7.016
ATOMIC_POSITIONS crystal
Dy 0.000 0.000 0.000
Al 0.000 0.500 0.311
Al 0.000 0.500 0.689
Al 0.500 0.000 0.311
Al 0.500 0.000 0.689
In 0.500 0.500 0.000
Ir 0.000 0.000 0.500

# 2
! PBE-GGA Nd2DyMg3Al2In, optimized geometry; values from VASP
! Crystal system   orthorhombic
&SYSTEM
  ibrav = 0, nat = 9, ntyp = 5
/
ATOMIC_SPECIES
Nd 144.24 Nd.upf
Dy 162.50 Dy.upf
Mg 24.30 Mg.upf
Al 26.98 Al.upf
In 114.82 In.upf
CELL_PARAMETERS angstrom
4.664 0.000 0.000
0.000 6.468 3.785
0.000 -6.468 3.785
ATOMIC_POSITIONS crystal
Nd 0.000 0.218 0.782
Nd 0.000 0.782 0.218
Dy 0.000 0.653 0.653
Mg 0.500 0.219 0.465
Mg 0.500 0.465 0.219
Mg 0.500 0.973 0.973
Al 0.500 0.554 0.881
Al 0.500 0.881 0.554
In 0.000 0.225 0.225

# 3
! PBE-GGA Tb2DyMg3Al2In, optimized geometry; values from VASP
! Crystal system   orthorhombic
&SYSTEM
  ibrav = 0, nat = 9, ntyp = 5
/
ATOMIC_SPECIES
Tb 158.93 Tb.upf
Dy 162.50 Dy.upf
Mg 24.30 Mg.upf
Al 26.98 Al.upf
In 114.82 In.upf
CELL_PARAMETERS angstrom
4.606 0.000 0.000
0.000 6.410 3.708
0.000 -6.410 3.708
ATOMIC_POSITIONS crystal
Tb 0.000 0.219 0.781
Tb 0.000 0.781 0.219
Dy 0.000 0.656 0.656
Mg 0.500 0.219 0.465
Mg 0.500 0.465 0.219
Mg 0.500 0.973 0.973
Al 0.500 0.552 0.885
Al 0.500 0.885 0.552
In 0.000 0.220 0.220

no.,energy (eV per cell),total magnetic moment (μB/cell)
1,-35.39,0.0
2,-32.13,0.0
3,-31.84,0.0